# GGA-PBEsol AlH6C2SeCl3, relaxed
# D(E_F) (states/eV/f.u.): 0.00
# DFT total energy (eV/f.u.): -60.24
# Calculated volume (Å³ per cell): 832.2
data_AlH6C2SeCl3
_cell_length_a 6.2478
_cell_length_b 12.5644
_cell_length_c 10.6016
_cell_angle_alpha 90.00
_cell_angle_beta 90.00
_cell_angle_gamma 90.00
_space_group_name_H-M_alt 'P b c m'
_space_group_IT_number 57
loop_
_space_group_symop_operation_xyz
'x,y,z'
'-x,-y,-z'
'-x,-y,z+1/2'
'x,y,-z+1/2'
'x,-y+1/2,-z'
'-x,y+1/2,z'
'-x,y+1/2,-z+1/2'
'x,-y+1/2,z+1/2'
loop_
_atom_site_label
_atom_site_fract_x
_atom_site_fract_y
_atom_site_fract_z
Al1 0.0517 0.0621 0.2500
H1 0.2476 0.6305 0.5244
H2 0.4139 0.7185 0.6186
H3 0.4558 0.5753 0.6233
C1 0.3382 0.6396 0.6126
Se1 0.1316 0.6331 0.7500
Cl1 0.1840 0.1241 0.0805
Cl2 0.2896 0.5734 0.2500